PBE NaCd11In, optimized geometry; total magnetic moment = 0.00 Bohr magnetons per cell; crystal system = monoclinic; symmetry = C2/m, No. 12; formation energy = 0.7 kJ/mol of formula units
1.0
-2.2653 5.3950 -1.5012
-3.5355 0.0027 -7.0323
-7.3590 0.9540 2.3791
Na Cd In
1 11 1
Direct
0.0000 0.0000 0.0000
0.2839 0.2112 0.2136
0.7161 0.7888 0.7864
0.5025 0.7888 0.2136
0.4975 0.2112 0.7864
0.3483 0.6477 0.6453
0.6517 0.3523 0.3547
0.0064 0.3523 0.6453
0.9936 0.6477 0.3547
0.0000 0.5000 0.0000
0.5000 0.0000 0.5000
0.0000 0.0000 0.5000
0.5000 0.5000 0.0000